Entry 1:
Li3B8C8 | PBE-GGA | optimized geometry

## Properties
V = 8.6 Å³ per atom
energy of formation = 0.04 eV per atom
total DFT energy (no corrections) = -6.96 eV per atom
distance to the lowest polymorph of the same formula = 29 meV per atom

a = 14.6279 Å, b = 2.7188 Å, c = 8.7347 Å
α = 90.00°, β = 109.63°, γ = 90.00°
Last column: nearest neighbours and their distance in Å.
Space group C2/m (No. 12)
One atom of each set of equivalent atoms:
Li1 0.0000 0.0000 0.0000 x2  6 C 2.31-2.49, 6 B 2.36-2.41
Li2 0.0293 0.5000 0.3431 x4  3 C 2.16-2.34, 2 B 2.28-2.36
B1 0.1005 0.5000 0.8926 x4  3 C 1.55-1.58
B2 0.1249 0.0000 0.6576 x4  3 C 1.51-1.60
B3 0.1646 0.0000 0.1687 x4  3 C 1.55-1.61
B4 0.2005 0.5000 0.4489 x4  4 C 1.58-1.66
C1 0.0832 0.0000 0.7940 x4  3 B 1.51-1.58
C2 0.1351 0.5000 0.0805 x4  3 B 1.55
C3 0.1566 0.5000 0.5917 x4  3 B 1.58-1.60, 1 C 1.66
C4 0.2233 0.0000 0.3613 x4  4 B 1.61-1.66, 1 C 1.66

***

Entry 2:
Tb8Ru3Pt2 | PBE-GGA | optimized geometry

## Properties
V = 24.9 Å³ per atom
energy of formation = -0.61 eV per atom
total DFT energy (no corrections) = -6.53 eV per atom

a = 9.6985 Å, b = 13.7728 Å, c = 4.8394 Å
α = 90.00°, β = 90.00°, γ = 90.00°
Last column: nearest neighbours and their distance in Å.
Space group Cmmm (No. 65)
One atom of each set of equivalent atoms:
Tb1 0.0000 0.1197 0.0000 x4  2 Ru 2.94, 2 Pt 3.01
Tb2 0.0000 0.3781 0.0000 x4  4 Ru 2.94-2.95, 2 Pt 3.00
Tb3 0.2495 0.3801 0.5000 x8  3 Ru 2.93, 2 Pt 3.01-3.02
Ru1 0.0000 0.5000 0.5000 x2  8 Tb 2.93-2.95
Ru2 0.2492 0.5000 0.0000 x4  8 Tb 2.93-2.94
Pt1 0.0000 0.2494 0.5000 x4  8 Tb 3.00-3.02

***

Entry 3:
CaSnSb2 | PBE-GGA | optimized geometry

## Properties
V = 33.1 Å³ per atom
formation energy without anion corrections = -0.321 eV/atom
total DFT energy (no corrections) = -3.88 eV per atom

a = 5.0506 Å, b = 5.0506 Å, c = 17.9736 Å
α = 90.00°, β = 90.00°, γ = 120.00°
Last column: nearest neighbours and their distance in Å.
Space group R3m (No. 160, hexagonal axes)
One atom of each set of equivalent atoms:
Ca1 0.0000 0.0000 0.0000 x3  6 Sb 3.25-3.35, 1 Sn 3.26
Sn1 0.0000 0.0000 0.8188 x3  6 Sb 3.19-3.33, 1 Ca 3.26
Sb1 0.0000 0.0000 0.4138 x3  1 Sb 2.91, 3 Sn 3.19
Sb2 0.0000 0.0000 0.5754 x3  1 Sb 2.91

***

Entry 4:
Li3TiRh3O8 | PBE-GGA | optimized geometry

## Properties
V = 10.4 Å³ per atom
formation energy without anion corrections = -1.531 eV/atom
total DFT energy (no corrections) = -6.55 eV per atom

a = 6.0439 Å, b = 6.0439 Å, c = 14.8327 Å
α = 90.00°, β = 90.00°, γ = 120.00°
Last column: nearest neighbours and their distance in Å.
Space group R-3m (No. 166, hexagonal axes)
One atom of each set of equivalent atoms:
Li1 0.0000 0.5000 0.0000 x9  6 O 2.18-2.22
Ti1 0.0000 0.0000 0.5000 x3  6 O 1.99
Rh1 0.0000 0.5000 0.5000 x9  6 O 2.07-2.10
O1 0.0000 0.0000 0.2413 x6  3 Rh 2.07, 3 Li 2.22
O2 0.0171 0.5086 0.2411 x18  1 Ti 1.99, 2 Rh 2.10, 2 Li 2.18

***

Entry 5:
KPuHg2Cl8 | PBE-GGA | optimized geometry

## Properties
V = 33.1 Å³ per atom
formation energy without anion corrections = -1.234 eV/atom
total DFT energy (no corrections) = -3.80 eV per atom

a = 6.6838 Å, b = 6.9090 Å, c = 8.9039 Å
α = 82.38°, β = 76.91°, γ = 88.43°
Last column: nearest neighbours and their distance in Å.
Space group P-1 (No. 2)
One atom of each set of equivalent atoms:
K1 0.0000 0.0000 0.0000 x1  6 Cl 3.11-3.22
Pu1 0.0000 0.0000 0.5000 x1  6 Cl 2.66-2.86
Hg1 0.4729 0.4846 0.2363 x2  2 Cl 2.39-2.41
Cl1 0.2134 0.8277 0.6987 x2  1 Pu 2.66
Cl2 0.2470 0.3397 0.4727 x2  1 Hg 2.41
Cl3 0.2511 0.8581 0.2592 x2  1 Pu 2.69, 1 Hg 2.95
Cl4 0.2703 0.3835 0.9839 x2  1 Hg 2.39

***

Entry 6:
SrTi4Se8 | PBE-GGA | optimized geometry

## Properties
V = 25.9 Å³ per atom
formation energy without anion corrections = -1.121 eV/atom
total DFT energy (no corrections) = -5.82 eV per atom
distance to the lowest polymorph of the same formula = 169 meV per atom

a = 11.0442 Å, b = 11.0442 Å, c = 11.0442 Å
α = 90.00°, β = 90.00°, γ = 90.00°
Last column: nearest neighbours and their distance in Å.
Space group F-43m (No. 216)
One atom of each set of equivalent atoms:
Sr1 0.0000 0.0000 0.0000 x4  4 Se 2.80
Ti1 0.1148 0.1148 0.6148 x16  6 Se 2.58-2.68
Se1 0.1184 0.1184 0.3816 x16  3 Ti 2.58
Se2 0.1466 0.1466 0.8534 x16  3 Ti 2.68, 1 Sr 2.80

***

Entry 7:
Pm2DyErTm4 | PBE-GGA | optimized geometry

## Properties
V = 31.3 Å³ per atom
energy of formation = 0.02 eV per atom
total DFT energy (no corrections) = -4.55 eV per atom

a = 5.0114 Å, b = 5.0239 Å, c = 9.9350 Å
α = 90.00°, β = 90.00°, γ = 90.00°
Last column: nearest neighbours and their distance in Å.
Space group Pmmm (No. 47)
One atom of each set of equivalent atoms:
Pm1 0.0000 0.0000 0.0000 x1  8 Tm 3.53, 4 Er 3.55
Pm2 0.5000 0.5000 0.5000 x1  8 Tm 3.53-3.54, 4 Dy 3.55
Dy1 0.0000 0.0000 0.5000 x1  8 Tm 3.53-3.54, 4 Pm 3.55
Er1 0.5000 0.5000 0.0000 x1  8 Tm 3.52-3.53, 4 Pm 3.55
Tm1 0.0000 0.5000 0.2494 x2  2 Er 3.52, 4 Pm 3.53, 2 Dy 3.54, 4 Tm 3.55
Tm2 0.5000 0.0000 0.2496 x2  4 Pm 3.53-3.54, 2 Er 3.53, 2 Dy 3.53, 4 Tm 3.55

***

Entry 8:
DyThIn | PBE-GGA | optimized geometry

## Properties
V = 29.8 Å³ per atom
energy of formation = -0.07 eV per atom
total DFT energy (no corrections) = -4.99 eV per atom
distance to the lowest polymorph of the same formula = 196 meV per atom

a = 5.3425 Å, b = 5.3425 Å, c = 3.6107 Å
α = 90.00°, β = 90.00°, γ = 120.00°
Last column: nearest neighbours and their distance in Å.
Space group P3m1 (No. 156)
One atom of each set of equivalent atoms:
Dy1 0.0000 0.0000 0.0000 x1  3 In 3.16, 3 Th 3.49
Th1 0.3333 0.6667 0.5505 x1  3 In 3.34, 6 Dy 3.49-3.67, 2 Th 3.61
In1 0.6667 0.3333 0.1937 x1  3 Dy 3.16, 3 Th 3.34

***

Question: Look up the V of the fourth one.
Answer: 10.4 Å³ per atom